--- 1 ---
! As4Pt | the Alexandria database | PBE | relaxed; values from VASP
! Total magnetic moment, μB/f.u.: 0.0
! Symmetry: Im-3m, No. 229
! Fermi-level density of states, states/eV/cell: 5.0
&SYSTEM
  ibrav = 0, nat = 5, ntyp = 2
/
ATOMIC_SPECIES
As 74.92 As.upf
Pt 195.08 Pt.upf
CELL_PARAMETERS angstrom
-3.0224 3.0224 3.0224
3.0224 -3.0224 3.0224
3.0224 3.0224 -3.0224
ATOMIC_POSITIONS crystal
As 0.0000 0.5000 0.0000
As 0.5000 0.5000 0.5000
As 0.5000 0.0000 0.0000
As 0.0000 0.0000 0.5000
Pt 0.0000 0.0000 0.0000

***

--- 2 ---
! As4Pt | the Alexandria database | PBE | relaxed; values from VASP
! Total magnetic moment, μB/f.u.: 0.0
! Symmetry: I4/mmm, No. 139
! Fermi-level density of states, states/eV/cell: 3.0
&SYSTEM
  ibrav = 0, nat = 5, ntyp = 2
/
ATOMIC_SPECIES
Pt 195.08 Pt.upf
As 74.92 As.upf
CELL_PARAMETERS angstrom
-2.0193 1.3227 9.1175
-2.0922 5.8560 7.0913
-0.3628 -3.8507 -8.6022
ATOMIC_POSITIONS crystal
Pt 0.0000 0.0000 0.0000
As 0.7500 0.2500 0.5000
As 0.4315 0.4315 0.0000
As 0.5685 0.5685 0.0000
As 0.2500 0.7500 0.5000

***

Order from most stable to least stable according to the calculation: 2, 1

***

--- 1 ---
! As3Pt | the Alexandria database | PBE | relaxed; values from VASP
! Total magnetic moment, μB/f.u.: 0.0
! Symmetry: P6_3/mmc, No. 194
! Fermi-level density of states, states/eV/cell: 2.7
&SYSTEM
  ibrav = 0, nat = 8, ntyp = 2
/
ATOMIC_SPECIES
As 74.92 As.upf
Pt 195.08 Pt.upf
CELL_PARAMETERS angstrom
3.9280 -6.8035 0.0000
3.9280 6.8035 0.0000
0.0000 0.0000 4.0780
ATOMIC_POSITIONS crystal
As 0.2225 0.4450 0.7500
As 0.5550 0.7775 0.7500
As 0.7775 0.2225 0.2500
As 0.2225 0.7775 0.7500
As 0.4450 0.2225 0.2500
As 0.7775 0.5550 0.2500
Pt 0.3333 0.6667 0.2500
Pt 0.6667 0.3333 0.7500

***

--- 2 ---
! As3Pt | the Alexandria database | PBE | relaxed; values from VASP
! Total magnetic moment, μB/f.u.: 0.0
! Symmetry: Immm, No. 71
! Fermi-level density of states, states/eV/cell: 2.3
&SYSTEM
  ibrav = 0, nat = 4, ntyp = 2
/
ATOMIC_SPECIES
Pt 195.08 Pt.upf
As 74.92 As.upf
CELL_PARAMETERS angstrom
-1.7442 -0.9866 -5.6840
1.0419 -5.0034 -3.1943
-2.1469 2.1573 5.2019
ATOMIC_POSITIONS crystal
Pt 0.5000 0.0000 0.5000
As 0.3265 0.3265 0.0000
As 0.0000 0.5000 0.5000
As 0.6735 0.6735 0.0000

***

--- 3 ---
! As3Pt | the Alexandria database | PBE | relaxed; values from VASP
! Total magnetic moment, μB/f.u.: 0.0
! Symmetry: P-6m2, No. 187
! Fermi-level density of states, states/eV/cell: 1.9
&SYSTEM
  ibrav = 0, nat = 4, ntyp = 2
/
ATOMIC_SPECIES
Pt 195.08 Pt.upf
As 74.92 As.upf
CELL_PARAMETERS angstrom
2.9284 0.0000 0.0000
-1.4642 2.5360 0.0000
0.0000 0.0000 9.9806
ATOMIC_POSITIONS crystal
Pt 0.6667 0.3333 0.7500
As 0.0000 0.0000 0.5330
As 0.0000 0.0000 0.9670
As 0.6667 0.3333 0.2500

***

--- 4 ---
! As3Pt | the Alexandria database | PBE | relaxed; values from VASP
! Total magnetic moment, μB/f.u.: 0.0
! Symmetry: Imm2, No. 44
! Fermi-level density of states, states/eV/cell: 0.9
&SYSTEM
  ibrav = 0, nat = 4, ntyp = 2
/
ATOMIC_SPECIES
As 74.92 As.upf
Pt 195.08 Pt.upf
CELL_PARAMETERS angstrom
-1.4458 -5.3250 1.2937
3.3936 -3.9273 -2.2757
0.1715 4.5631 3.3567
ATOMIC_POSITIONS crystal
As 0.6508 0.6447 0.0062
As 0.0753 0.5000 0.5753
As 0.3615 0.3553 0.0062
Pt 0.7457 0.0000 0.7457

***

Order from most stable to least stable according to the calculation: 4, 1, 2, 3

***

--- 1 ---
! AsPt4 | the Alexandria database | PBE | relaxed; values from VASP
! Total magnetic moment, μB/f.u.: 0.0
! Symmetry: I4/mmm, No. 139
! Fermi-level density of states, states/eV/cell: 7.4
&SYSTEM
  ibrav = 0, nat = 5, ntyp = 2
/
ATOMIC_SPECIES
Pt 195.08 Pt.upf
As 74.92 As.upf
CELL_PARAMETERS angstrom
-2.0635 6.4696 2.5071
-5.7852 4.3368 -0.3493
2.9537 -6.5285 1.0261
ATOMIC_POSITIONS crystal
Pt 0.2500 0.7500 0.5000
Pt 0.4041 0.4041 0.0000
Pt 0.7500 0.2500 0.5000
Pt 0.5959 0.5959 0.0000
As 0.0000 0.0000 0.0000

***

--- 2 ---
! AsPt4 | the Alexandria database | PBE | relaxed; values from VASP
! Total magnetic moment, μB/f.u.: 0.0
! Symmetry: Im-3m, No. 229
! Fermi-level density of states, states/eV/cell: 2.9
&SYSTEM
  ibrav = 0, nat = 5, ntyp = 2
/
ATOMIC_SPECIES
As 74.92 As.upf
Pt 195.08 Pt.upf
CELL_PARAMETERS angstrom
4.4257 -0.9541 -1.8985
-0.9871 -3.2364 3.5571
-3.4019 -0.3513 -3.5221
ATOMIC_POSITIONS crystal
As 0.0000 0.0000 0.0000
Pt 0.0000 0.5000 0.0000
Pt 0.5000 0.0000 0.0000
Pt 0.0000 0.0000 0.5000
Pt 0.5000 0.5000 0.5000

***

Order from most stable to least stable according to the calculation: 2, 1

***

--- 1 ---
! Rb3AsPt | the Alexandria database | PBE | relaxed; values from VASP
! Total magnetic moment, μB/f.u.: 2.0
! Symmetry: Pm-3m, No. 221
! Fermi-level density of states, states/eV/cell: 10.8
&SYSTEM
  ibrav = 0, nat = 5, ntyp = 3
/
ATOMIC_SPECIES
Rb 85.47 Rb.upf
As 74.92 As.upf
Pt 195.08 Pt.upf
CELL_PARAMETERS angstrom
-2.1143 0.0360 -5.9711
2.0319 -5.9520 -0.7553
-5.6149 -2.1674 1.9751
ATOMIC_POSITIONS crystal
Rb 0.0000 0.0000 0.5000
Rb 0.0000 0.5000 0.0000
Rb 0.5000 0.0000 0.0000
As 0.5000 0.5000 0.5000
Pt 0.0000 0.0000 0.0000

***

--- 2 ---
! Rb3AsPt | the Alexandria database | PBE | relaxed; values from VASP
! Total magnetic moment, μB/f.u.: 0.0
! Symmetry: P2_1/c, No. 14
! Fermi-level density of states, states/eV/cell: 17.8
&SYSTEM
  ibrav = 0, nat = 20, ntyp = 3
/
ATOMIC_SPECIES
Pt 195.08 Pt.upf
Rb 85.47 Rb.upf
As 74.92 As.upf
CELL_PARAMETERS angstrom
9.9605 0.0000 0.0000
0.0000 6.8530 -0.7225
0.0000 0.9841 11.1456
ATOMIC_POSITIONS crystal
Pt 0.2535 0.0588 0.1267
Pt 0.7535 0.9412 0.3733
Pt 0.2465 0.0588 0.6267
Pt 0.7465 0.9412 0.8733
Rb 0.8053 0.2694 0.6231
Rb 0.1947 0.7306 0.3769
Rb 0.6947 0.2694 0.1231
Rb 0.0517 0.2380 0.8988
Rb 0.0384 0.2347 0.3466
Rb 0.5384 0.7653 0.1533
Rb 0.9483 0.7620 0.1012
Rb 0.4616 0.2347 0.8466
Rb 0.9616 0.7653 0.6534
Rb 0.3053 0.7306 0.8769
Rb 0.5517 0.7620 0.6012
Rb 0.4483 0.2380 0.3988
As 0.2997 0.3918 0.1244
As 0.7997 0.6082 0.3756
As 0.7003 0.6082 0.8756
As 0.2003 0.3918 0.6244

***

Order from most stable to least stable according to the calculation: 2, 1

***

--- 1 ---
! RbAs3Pt3 | the Alexandria database | PBE | relaxed; values from VASP
! Total magnetic moment, μB/f.u.: 0.0
! Symmetry: Pm-3n, No. 223
! Fermi-level density of states, states/eV/cell: 14.2
&SYSTEM
  ibrav = 0, nat = 14, ntyp = 3
/
ATOMIC_SPECIES
Pt 195.08 Pt.upf
As 74.92 As.upf
Rb 85.47 Rb.upf
CELL_PARAMETERS angstrom
-2.5404 -2.0412 6.1725
6.3326 -2.2766 1.8535
1.4712 6.2746 2.6804
ATOMIC_POSITIONS crystal
Pt 0.0000 0.5000 0.2500
Pt 0.2500 0.0000 0.5000
Pt 0.5000 0.7500 0.0000
Pt 0.0000 0.5000 0.7500
Pt 0.7500 0.0000 0.5000
Pt 0.5000 0.2500 0.0000
As 0.0000 0.7500 0.5000
As 0.2500 0.5000 0.0000
As 0.5000 0.0000 0.2500
As 0.7500 0.5000 0.0000
As 0.0000 0.2500 0.5000
As 0.5000 0.0000 0.7500
Rb 0.5000 0.5000 0.5000
Rb 0.0000 0.0000 0.0000

***

--- 2 ---
! RbAs3Pt3 | the Alexandria database | PBE | relaxed; values from VASP
! Total magnetic moment, μB/f.u.: 0.0
! Symmetry: R-3, No. 148
! Fermi-level density of states, states/eV/cell: 4.7
&SYSTEM
  ibrav = 0, nat = 14, ntyp = 3
/
ATOMIC_SPECIES
Pt 195.08 Pt.upf
As 74.92 As.upf
Rb 85.47 Rb.upf
CELL_PARAMETERS angstrom
7.1768 0.0000 0.0000
3.5884 6.2153 0.0000
3.5884 2.0718 8.3130
ATOMIC_POSITIONS crystal
Pt 0.5317 0.2091 0.3898
Pt 0.2091 0.8694 0.3898
Pt 0.1306 0.4683 0.6102
Pt 0.7909 0.1306 0.6102
Pt 0.8694 0.5317 0.3898
Pt 0.4683 0.7909 0.6102
As 0.4297 0.1027 0.6895
As 0.8973 0.2219 0.3105
As 0.7781 0.4297 0.6895
As 0.1027 0.7781 0.6895
As 0.5703 0.8973 0.3105
As 0.2219 0.5703 0.3105
Rb 0.6666 0.6666 0.0002
Rb 0.3334 0.3334 0.9998

***

Order from most stable to least stable according to the calculation: 2, 1

***

--- 1 ---
! RbAs2PtSe | the Alexandria database | PBE | relaxed; values from VASP
! Total magnetic moment, μB/f.u.: 0.0
! Symmetry: P4/mmm, No. 123
! Fermi-level density of states, states/eV/cell: 2.6
&SYSTEM
  ibrav = 0, nat = 5, ntyp = 4
/
ATOMIC_SPECIES
As 74.92 As.upf
Pt 195.08 Pt.upf
Rb 85.47 Rb.upf
Se 78.96 Se.upf
CELL_PARAMETERS angstrom
4.9163 0.0000 0.0000
0.0000 4.9163 0.0000
0.0000 0.0000 5.6470
ATOMIC_POSITIONS crystal
As 0.0000 0.5000 0.0000
As 0.5000 0.0000 0.0000
Pt 0.0000 0.0000 0.0000
Rb 0.5000 0.5000 0.5000
Se 0.0000 0.0000 0.5000

***

--- 2 ---
! RbAs2PtSe | the Alexandria database | PBE | relaxed; values from VASP
! Total magnetic moment, μB/f.u.: 0.0
! Symmetry: P4/mmm, No. 123
! Fermi-level density of states, states/eV/cell: 7.4
&SYSTEM
  ibrav = 0, nat = 5, ntyp = 4
/
ATOMIC_SPECIES
Pt 195.08 Pt.upf
As 74.92 As.upf
Rb 85.47 Rb.upf
Se 78.96 Se.upf
CELL_PARAMETERS angstrom
-1.2326 4.7213 -2.5141
-1.2297 -2.7610 -4.5820
-5.2675 -0.4712 1.6976
ATOMIC_POSITIONS crystal
Pt 0.5000 0.5000 0.5000
As 0.0000 0.5000 0.0000
As 0.5000 0.0000 0.0000
Rb 0.0000 0.0000 0.0000
Se 0.0000 0.0000 0.5000

***

Order from most stable to least stable according to the calculation: 1, 2

***

--- 1 ---
! ReAsPt3 | the Alexandria database | PBE | relaxed; values from VASP
! Total magnetic moment, μB/f.u.: 0.0
! Symmetry: Pm-3m, No. 221
! Fermi-level density of states, states/eV/cell: 4.6
&SYSTEM
  ibrav = 0, nat = 5, ntyp = 3
/
ATOMIC_SPECIES
Pt 195.08 Pt.upf
As 74.92 As.upf
Re 186.21 Re.upf
CELL_PARAMETERS angstrom
4.8205 0.0000 0.0000
0.0000 4.8205 0.0000
0.0000 0.0000 4.8205
ATOMIC_POSITIONS crystal
Pt 0.0000 0.5000 0.0000
Pt 0.5000 0.0000 0.0000
Pt 0.0000 0.0000 0.5000
As 0.5000 0.5000 0.5000
Re 0.0000 0.0000 0.0000

***

--- 2 ---
! ReAsPt3 | the Alexandria database | PBE | relaxed; values from VASP
! Total magnetic moment, μB/f.u.: 4.1
! Symmetry: Pm-3m, No. 221
! Fermi-level density of states, states/eV/cell: 2.3
&SYSTEM
  ibrav = 0, nat = 5, ntyp = 3
/
ATOMIC_SPECIES
Re 186.21 Re.upf
Pt 195.08 Pt.upf
As 74.92 As.upf
CELL_PARAMETERS angstrom
-0.7869 -2.5837 3.7694
3.7975 1.7580 1.9977
-2.5421 3.4259 1.8176
ATOMIC_POSITIONS crystal
Re 0.5000 0.5000 0.5000
Pt 0.0000 0.0000 0.5000
Pt 0.0000 0.5000 0.0000
Pt 0.5000 0.0000 0.0000
As 0.0000 0.0000 0.0000

***

Order from most stable to least stable according to the calculation: 2, 1

***

--- 1 ---
! ReAsPt | the Alexandria database | PBE | relaxed; values from VASP
! Total magnetic moment, μB/f.u.: 0.0
! Symmetry: Fmm2, No. 42
! Fermi-level density of states, states/eV/cell: 3.3
&SYSTEM
  ibrav = 0, nat = 3, ntyp = 3
/
ATOMIC_SPECIES
Pt 195.08 Pt.upf
Re 186.21 Re.upf
As 74.92 As.upf
CELL_PARAMETERS angstrom
7.5564 -0.0156 0.0100
6.7861 2.6799 -0.0312
0.7703 -1.1771 2.4253
ATOMIC_POSITIONS crystal
Pt 0.3271 0.3271 0.6729
Re 0.6652 0.6652 0.3348
As 0.0077 0.0077 0.9923

***

--- 2 ---
! ReAsPt | the Alexandria database | PBE | relaxed; values from VASP
! Total magnetic moment, μB/f.u.: 0.0
! Symmetry: Amm2, No. 38
! Fermi-level density of states, states/eV/cell: 3.1
&SYSTEM
  ibrav = 0, nat = 6, ntyp = 3
/
ATOMIC_SPECIES
Pt 195.08 Pt.upf
Re 186.21 Re.upf
As 74.92 As.upf
CELL_PARAMETERS angstrom
2.9442 0.0000 0.0000
-1.4721 2.5547 0.0000
0.0000 0.0000 12.6607
ATOMIC_POSITIONS crystal
Pt 0.7718 0.5436 0.1650
Pt 0.7718 0.5436 0.8350
Re 0.4381 0.8762 0.0000
Re 0.4497 0.8995 0.5000
As 0.1176 0.2351 0.3488
As 0.1176 0.2351 0.6512

***

Order from most stable to least stable according to the calculation: 2, 1

***

--- 1 ---
! ReAsPt | the Alexandria database | PBE | relaxed; values from VASP
! Total magnetic moment, μB/f.u.: 0.0
! Symmetry: F-43m, No. 216
! Fermi-level density of states, states/eV/cell: 4.5
&SYSTEM
  ibrav = 0, nat = 3, ntyp = 3
/
ATOMIC_SPECIES
Pt 195.08 Pt.upf
Re 186.21 Re.upf
As 74.92 As.upf
CELL_PARAMETERS angstrom
-2.9457 -0.0618 -3.0695
1.1461 -0.7170 -4.0342
-1.0323 -3.6724 -1.8842
ATOMIC_POSITIONS crystal
Pt 0.5000 0.5000 0.5000
Re 0.7500 0.7500 0.7500
As 0.0000 0.0000 0.0000

***

--- 2 ---
! ReAsPt | the Alexandria database | PBE | relaxed; values from VASP
! Total magnetic moment, μB/f.u.: 0.0
! Symmetry: I4mm, No. 107
! Fermi-level density of states, states/eV/cell: 2.7
&SYSTEM
  ibrav = 0, nat = 3, ntyp = 3
/
ATOMIC_SPECIES
As 74.92 As.upf
Pt 195.08 Pt.upf
Re 186.21 Re.upf
CELL_PARAMETERS angstrom
6.3960 0.1044 0.0000
5.0299 3.9523 0.0000
-5.7130 -2.0284 2.0416
ATOMIC_POSITIONS crystal
As 0.0260 0.0260 0.0000
Pt 0.3117 0.3117 0.0000
Re 0.6624 0.6624 0.0000

***

--- 3 ---
! ReAsPt | the Alexandria database | PBE | relaxed; values from VASP
! Total magnetic moment, μB/f.u.: 0.0
! Symmetry: P3m1, No. 156
! Fermi-level density of states, states/eV/cell: 1.3
&SYSTEM
  ibrav = 0, nat = 3, ntyp = 3
/
ATOMIC_SPECIES
Pt 195.08 Pt.upf
Re 186.21 Re.upf
As 74.92 As.upf
CELL_PARAMETERS angstrom
-1.5442 0.8308 -2.3576
2.0885 -2.0503 -0.2596
-4.2585 -4.4906 1.2069
ATOMIC_POSITIONS crystal
Pt 0.6667 0.3333 0.3358
Re 0.3333 0.6667 0.6812
As 0.0000 0.0000 0.9830

***

Order from most stable to least stable according to the calculation: 3, 2, 1

***

--- 1 ---
! As4PtRh | the Alexandria database | PBE | relaxed; values from VASP
! Total magnetic moment, μB/f.u.: 0.0
! Symmetry: F-43m, No. 216
! Fermi-level density of states, states/eV/cell: 5.8
&SYSTEM
  ibrav = 0, nat = 6, ntyp = 3
/
ATOMIC_SPECIES
Rh 102.91 Rh.upf
As 74.92 As.upf
Pt 195.08 Pt.upf
CELL_PARAMETERS angstrom
0.0000 3.7868 3.7868
3.7868 0.0000 3.7868
3.7868 3.7868 0.0000
ATOMIC_POSITIONS crystal
Rh 0.0000 0.0000 0.0000
As 0.6250 0.6250 0.6250
As 0.6250 0.1250 0.6250
As 0.6250 0.6250 0.1250
As 0.1250 0.6250 0.6250
Pt 0.2500 0.2500 0.2500

***

--- 2 ---
! As4PtRh | the Alexandria database | PBE | relaxed; values from VASP
! Total magnetic moment, μB/f.u.: 0.0
! Symmetry: P2_1/c, No. 14
! Fermi-level density of states, states/eV/cell: 9.2
&SYSTEM
  ibrav = 0, nat = 12, ntyp = 3
/
ATOMIC_SPECIES
As 74.92 As.upf
Rh 102.91 Rh.upf
Pt 195.08 Pt.upf
CELL_PARAMETERS angstrom
6.0249 0.0000 0.0384
0.0000 6.0433 0.0000
0.1269 0.0000 6.0292
ATOMIC_POSITIONS crystal
As 0.8839 0.1225 0.3883
As 0.6183 0.1142 0.8774
As 0.1161 0.8775 0.6117
As 0.3839 0.3775 0.3883
As 0.6161 0.6225 0.6117
As 0.1183 0.3858 0.8774
As 0.3817 0.8858 0.1226
As 0.8817 0.6142 0.1226
Rh 0.0000 0.5000 0.5000
Rh 0.5000 0.0000 0.5000
Pt 0.5000 0.5000 0.0000
Pt 0.0000 0.0000 0.0000

***

Order from most stable to least stable according to the calculation: 2, 1

***

--- 1 ---
! AsPtRh3 | the Alexandria database | PBE | relaxed; values from VASP
! Total magnetic moment, μB/f.u.: 2.8
! Symmetry: Pm-3m, No. 221
! Fermi-level density of states, states/eV/cell: 8.9
&SYSTEM
  ibrav = 0, nat = 5, ntyp = 3
/
ATOMIC_SPECIES
As 74.92 As.upf
Rh 102.91 Rh.upf
Pt 195.08 Pt.upf
CELL_PARAMETERS angstrom
-0.2758 -2.8215 3.8449
-2.1479 -3.3651 -2.6235
4.2580 -1.8803 -1.0744
ATOMIC_POSITIONS crystal
As 0.5000 0.5000 0.5000
Rh 0.0000 0.5000 0.0000
Rh 0.5000 0.0000 0.0000
Rh 0.0000 0.0000 0.5000
Pt 0.0000 0.0000 0.0000

***

--- 2 ---
! AsPtRh3 | the Alexandria database | PBE | relaxed; values from VASP
! Total magnetic moment, μB/f.u.: 0.1
! Symmetry: Pm-3m, No. 221
! Fermi-level density of states, states/eV/cell: 6.8
&SYSTEM
  ibrav = 0, nat = 5, ntyp = 3
/
ATOMIC_SPECIES
Pt 195.08 Pt.upf
Rh 102.91 Rh.upf
As 74.92 As.upf
CELL_PARAMETERS angstrom
-3.8260 2.3146 0.4427
-1.0772 -0.9669 -4.2540
-2.0960 -3.7282 1.3782
ATOMIC_POSITIONS crystal
Pt 0.5000 0.5000 0.5000
Rh 0.0000 0.5000 0.0000
Rh 0.5000 0.0000 0.0000
Rh 0.0000 0.0000 0.5000
As 0.0000 0.0000 0.0000

***

Order from most stable to least stable according to the calculation: 2, 1